The following is a DFT calculation (PBE) of Th2SnGe3Ir4 after structural relaxation.

a = 4.266 Å, b = 4.266 Å, c = 10.663 Å
α = 90.00°, β = 90.00°, γ = 90.00°
Sites, in units of the cell vectors:
Ir 0.000 0.000 0.000
Ir 0.500 0.500 0.000
Ir 0.000 0.500 0.355
Ir 0.500 0.000 0.645
Th 0.000 0.500 0.758
Th 0.500 0.000 0.242
Ge 0.000 0.000 0.500
Ge 0.000 0.500 0.127
Ge 0.500 0.000 0.873
Sn 0.500 0.500 0.500

Space group: No. 115

The following is a DFT calculation (PBE) of Sr3Ge4Ir2 after structural relaxation.

a = 4.143 Å, b = 6.397 Å, c = 9.043 Å
α = 97.21°, β = 90.00°, γ = 108.90°
Sites, in units of the cell vectors:
Ir 0.387 0.775 0.724
Ir 0.613 0.225 0.276
Sr 0.665 0.330 0.656
Sr 0.000 0.000 0.000
Sr 0.335 0.670 0.344
Ge 0.057 0.114 0.377
Ge 0.274 0.548 0.927
Ge 0.726 0.452 0.073
Ge 0.943 0.886 0.623

E above lowest polymorph, kJ/mol of formula units: 18.2
Space group: No. 12

The following is a DFT calculation (PBE) of SrGe3Ir2 after structural relaxation.

a = 6.000 Å, b = 6.000 Å, c = 8.452 Å
α = 69.21°, β = 69.21°, γ = 60.00°
Sites, in units of the cell vectors:
Ir 0.000 0.500 0.000
Ir 0.500 0.000 0.000
Ir 0.500 0.500 0.000
Ir 0.000 0.000 0.000
Ge 0.749 0.257 0.244
Ge 0.743 0.251 0.756
Ge 0.251 0.743 0.756
Ge 0.749 0.749 0.244
Ge 0.251 0.251 0.756
Ge 0.257 0.749 0.244
Sr 0.794 0.794 0.618
Sr 0.206 0.206 0.382

Space group: No. 166

The following is a DFT calculation (PBE) of SrGeIr3 after structural relaxation.

a = 4.980 Å, b = 4.980 Å, c = 4.980 Å
α = 90.00°, β = 90.00°, γ = 90.00°
Sites, in units of the cell vectors:
Ge 0.500 0.500 0.500
Sr 0.000 0.000 0.000
Ir 0.000 0.000 0.500
Ir 0.000 0.500 0.000
Ir 0.500 0.000 0.000

E above lowest polymorph, kJ/mol of formula units: 1089.5
Space group: No. 221

The following is a DFT calculation (PBE) of Sr3Ge2Ir after structural relaxation.

a = 7.833 Å, b = 9.876 Å, c = 11.145 Å
α = 90.00°, β = 122.69°, γ = 90.00°
Sites, in units of the cell vectors:
Ge 0.778 0.852 0.385
Ge 0.222 0.148 0.615
Ge 0.317 0.693 0.398
Ge 0.817 0.807 0.898
Ge 0.722 0.352 0.115
Ge 0.683 0.307 0.602
Ge 0.278 0.648 0.885
Ge 0.183 0.193 0.102
Sr 0.073 0.016 0.295
Sr 0.673 0.171 0.344
Sr 0.927 0.984 0.705
Sr 0.327 0.829 0.656
Sr 0.686 0.117 0.898
Sr 0.314 0.883 0.102
Sr 0.814 0.617 0.602
Sr 0.186 0.383 0.398
Sr 0.173 0.329 0.844
Sr 0.427 0.516 0.205
Sr 0.827 0.671 0.156
Sr 0.573 0.484 0.795
Ir 0.985 0.393 0.059
Ir 0.515 0.893 0.441
Ir 0.015 0.607 0.941
Ir 0.485 0.107 0.559

Space group: No. 14

The following is a DFT calculation (PBE) of Sr2Ge3Ir after structural relaxation.

a = 6.391 Å, b = 6.391 Å, c = 8.624 Å
α = 109.77°, β = 109.77°, γ = 94.99°
Sites, in units of the cell vectors:
Ge 0.345 0.345 0.173
Ge 0.172 0.172 0.827
Ge 0.827 0.827 0.653
Ge 0.655 0.655 0.827
Ge 0.828 0.828 0.173
Ge 0.173 0.173 0.347
Ir 0.334 0.334 0.668
Ir 0.666 0.666 0.332
Sr 0.745 0.255 0.000
Sr 0.250 0.750 0.500
Sr 0.750 0.250 0.500
Sr 0.255 0.745 0.000

Space group: No. 69

Number 1: ΔH_f (0 K) -0.747 eV/atom. Number 2: ΔH_f (0 K) -0.573 eV/atom. Number 3: ΔH_f (0 K) -0.249 eV/atom. Number 4: ΔH_f (0 K) 2.622 eV/atom. Number 5: ΔH_f (0 K) -0.452 eV/atom. Number 6: ΔH_f (0 K) -0.577 eV/atom.